! Mn6Pt5Au PBE optimized geometry; values from VASP
! E_form (meV per atom): -288
! Crystal system: orthorhombic
! SG: Immm, No. 71
! D(E_F) (states/eV per cell): 5.28
&SYSTEM
  ibrav = 0, nat = 12, ntyp = 3
/
ATOMIC_SPECIES
Mn 54.94 Mn.upf
Au 196.97 Au.upf
Pt 195.08 Pt.upf
ATOMIC_POSITIONS angstrom
Mn -1.2287 4.4908 3.2851
Mn -0.2135 2.6499 -0.7694
Au 0.0000 0.0000 0.0000
Mn 1.2474 3.3978 4.4412
Mn 0.7385 0.4209 2.6338
Pt 0.5170 3.0238 1.8359
Pt -1.9553 4.1400 0.6937
Pt -0.4303 5.2416 -1.5501
Pt 1.4642 0.8060 5.2220
Mn 2.2626 1.5568 0.3867
Pt -1.0032 1.9109 4.0971
Mn 0.2954 5.6268 1.0380
CELL_PARAMETERS angstrom
3.9924 -0.0032 -1.1190
-2.8948 6.3397 -2.6648
-0.0637 -0.2889 7.4556